[1]
An optimized crystal structure of AcTb2Pr6Tm, computed with PBE.

Geometry as CIF:
```
data_AcTb2Pr6Tm
_symmetry_space_group_name_H-M 'C 1 2/c 1'
_symmetry_Int_Tables_number 15
_cell_length_a 9.4575
_cell_length_b 15.6376
_cell_length_c 9.7870
_cell_angle_alpha 90.00
_cell_angle_beta 95.81
_cell_angle_gamma 90.00
loop_
_symmetry_equiv_pos_as_xyz
'x,y,z'
'-x,-y,-z'
'-x,y,-z+1/2'
'x,-y,z+1/2'
'x+1/2,y+1/2,z'
'-x+1/2,-y+1/2,-z'
'-x+1/2,y+1/2,-z+1/2'
'x+1/2,-y+1/2,z+1/2'
loop_
_atom_site_label
_atom_site_fract_x
_atom_site_fract_y
_atom_site_fract_z
Ac1 0.0000 0.0257 0.2500
Tb1 0.2398 0.4449 0.4528
Pr1 0.0584 0.1848 0.9466
Pr2 0.1015 0.3913 0.1164
Pr3 0.2181 0.2240 0.3117
Tm1 0.0000 0.4140 0.7500
```

Summary:
For the uncorrected energy, the calculation gives -4.5345 eV/atom. The formation energy is 117 meV/atom.

---

[2]
An optimized crystal structure of AcTb4Pr2Tm, computed with PBE.

Geometry as CIF:
```
data_AcTb4Pr2Tm
_symmetry_space_group_name_H-M 'I m m a'
_symmetry_Int_Tables_number 74
_symmetry_space_group_name_Hall '-I 2b 2'
_cell_length_a 6.9437
_cell_length_b 12.0147
_cell_length_c 13.4841
_cell_angle_alpha 90.00
_cell_angle_beta 90.00
_cell_angle_gamma 90.00
loop_
_atom_site_label
_atom_site_fract_x
_atom_site_fract_y
_atom_site_fract_z
Ac1 0.0000 0.0000 0.0000
Tb1 0.0000 0.0080 0.2580
Tb2 0.2379 0.2500 0.4916
Pr1 0.0000 0.0000 0.5000
Pr2 0.2500 0.2500 0.7500
Tm1 0.2500 0.2500 0.2500
```

Summary:
For the uncorrected energy, the calculation gives -4.1697 eV/atom. The formation energy is 413 meV/atom.

---

[3]
An optimized crystal structure of AcTbPr5Tm2, computed with PBE.

Geometry as CIF:
```
data_AcTbPr5Tm2
_symmetry_space_group_name_H-M 'C m c 21'
_symmetry_Int_Tables_number 36
_cell_length_a 5.5837
_cell_length_b 24.5278
_cell_length_c 9.5723
_cell_angle_alpha 90.00
_cell_angle_beta 90.00
_cell_angle_gamma 90.00
loop_
_symmetry_equiv_pos_as_xyz
'x,y,z'
'-x,-y,z+1/2'
'-x,y,z'
'x,-y,z+1/2'
'x+1/2,y+1/2,z'
'-x+1/2,-y+1/2,z+1/2'
'-x+1/2,y+1/2,z'
'x+1/2,-y+1/2,z+1/2'
loop_
_atom_site_label
_atom_site_fract_x
_atom_site_fract_y
_atom_site_fract_z
Ac1 0.0000 0.1026 0.0000
Tb1 0.0000 0.2652 0.3926
Pr1 0.0000 0.0247 0.6691
Pr2 0.0000 0.1069 0.3923
Pr3 0.0000 0.1887 0.7020
Pr4 0.0000 0.2408 0.0684
Pr5 0.0000 0.4903 0.8841
Tm1 0.0000 0.3250 0.7534
Tm2 0.0000 0.3880 0.1357
```

Summary:
For the uncorrected energy, the calculation gives -4.4748 eV/atom. The formation energy is 145 meV/atom.

---

[4]
An optimized crystal structure of AcTb3PrTm, computed with PBE.

Geometry as CIF:
```
data_AcTb3PrTm
_symmetry_space_group_name_H-M 'P 1 21/m 1'
_symmetry_Int_Tables_number 11
_cell_length_a 7.0925
_cell_length_b 5.7552
_cell_length_c 9.9802
_cell_angle_alpha 90.00
_cell_angle_beta 90.07
_cell_angle_gamma 90.00
loop_
_symmetry_equiv_pos_as_xyz
'x,y,z'
'-x,-y,-z'
'-x,y+1/2,-z'
'x,-y+1/2,z'
loop_
_atom_site_label
_atom_site_fract_x
_atom_site_fract_y
_atom_site_fract_z
Ac1 0.0005 0.2500 0.2540
Tb1 0.2569 0.7500 0.0848
Tb2 0.2584 0.2500 0.5828
Tb3 0.2606 0.7500 0.4165
Pr1 0.2649 0.2500 0.9172
Tm1 0.4984 0.2500 0.2563
```

Summary:
For the uncorrected energy, the calculation gives -4.4811 eV/atom. The formation energy is 61 meV/atom.

---

no.,DOS(E_F) (states/eV per atom)
1,1.440
2,2.316
3,1.294
4,1.351